No. 1
The following is a PBE-GGA calculation of crystalline Pr8Ag2Au at its relaxed geometry, from Alexandria.

Unit cell a=5.3487 b=7.1371 c=9.7766 alpha=105.78 beta=105.88 gamma=90.00
With the nearest neighbours (Å) after each atom.
Positions (direct):
Pr: 0.4092 0.5388 0.8183  1 Au 3.25, 2 Ag 3.45, 4 Pr 3.54-3.64
Pr: 0.6660 0.9898 0.3320  3 Ag 3.01-3.27, 1 Au 3.14
Pr: 0.7992 0.6673 0.5985  1 Ag 3.03
Pr: 0.9771 0.2237 0.9542  1 Ag 3.02, 2 Au 3.21
Pr: 0.2008 0.3327 0.4015  1 Ag 3.03
Pr: 0.3340 0.0102 0.6680  3 Ag 3.01-3.27, 1 Au 3.14
Pr: 0.5908 0.4612 0.1817  1 Au 3.25, 2 Ag 3.45, 4 Pr 3.54-3.64
Pr: 0.0229 0.7763 0.0458  1 Ag 3.02, 2 Au 3.21
Ag: 0.8212 0.2625 0.6423  5 Pr 3.01-3.27
Ag: 0.1788 0.7375 0.3577  5 Pr 3.01-3.27
Au: 0.5000 0.0000 0.0000  8 Pr 3.14-3.25

Computed properties:
- DOS at the Fermi energy (states/eV per cell) = 11.9
- size of the total moment (μB/f.u.) = 0.0
- volume (Å³/atom) = 31.3
- E_form (eV/atom) = -0.1925
- total DFT energy (no corrections) (eV per atom) = -4.48

No. 2
The following is a PBE-GGA calculation of crystalline Pr2Ag2Au at its relaxed geometry, from Alexandria.

Unit cell a=7.8207 b=7.8207 c=6.1256 alpha=45.64 beta=45.64 gamma=32.18
With the nearest neighbours (Å) after each atom.
Positions (direct):
Pr: 0.6960 0.6960 0.8267  5 Ag 3.09-3.25, 2 Au 3.15
Pr: 0.3040 0.3040 0.1733  5 Ag 3.09-3.25, 2 Au 3.15
Ag: 0.4086 0.4086 0.4878  1 Ag 2.86, 2 Au 3.09, 3 Pr 3.09-3.10
Ag: 0.5914 0.5914 0.5122  1 Ag 2.86, 2 Au 3.09, 3 Pr 3.09-3.10
Au: 0.0000 0.0000 0.0000  4 Ag 3.09, 4 Pr 3.15

Computed properties:
- DOS at the Fermi energy (states/eV per cell) = 4.6
- size of the total moment (μB/f.u.) = 0.0
- volume (Å³/atom) = 27.4
- E_form (eV/atom) = -0.2394
- ΔE to the lowest computed polymorph (meV/atom) = 186
- total DFT energy (no corrections) (eV per atom) = -3.95

No. 3
The following is a PBE-GGA calculation of crystalline PrAg5Au7 at its relaxed geometry, from Alexandria.

Unit cell a=5.6087 b=7.3250 c=7.3249 alpha=81.85 beta=67.13 gamma=67.13
With the nearest neighbours (Å) after each atom.
Positions (direct):
Pr: 0.9922 0.0088 0.0088  10 Au 3.26-3.46, 6 Ag 3.59-3.62
Ag: 0.5008 0.0004 0.4992  7 Au 2.79-2.94, 3 Ag 2.79-2.81
Ag: 0.0015 0.9973 0.4976  3 Ag 2.78-2.81, 7 Au 2.78-2.95
Ag: 0.5008 0.4992 0.0004  7 Au 2.79-2.94, 3 Ag 2.79-2.81
Ag: 0.0015 0.4976 0.9973  3 Ag 2.78-2.81, 7 Au 2.78-2.95
Ag: 0.7316 0.7700 0.7701  4 Ag 2.78-2.79, 6 Au 2.90-2.99
Au: 0.6466 0.3517 0.3517  4 Ag 2.94-2.95, 5 Au 2.95-3.18, 1 Pr 3.26
Au: 0.3430 0.6620 0.6620  6 Ag 2.90-2.99, 1 Au 2.95
Au: 0.9985 0.3432 0.6529  5 Ag 2.89-2.98, 4 Au 2.97-3.15
Au: 0.9985 0.6529 0.3432  5 Ag 2.89-2.98, 4 Au 2.97-3.15
Au: 0.2772 0.2214 0.2213  4 Ag 2.79, 6 Au 2.87-3.07
Au: 0.5039 0.7959 0.1997  5 Ag 2.78-2.90, 2 Au 2.87-3.10
Au: 0.5039 0.1997 0.7959  5 Ag 2.78-2.90, 2 Au 2.87-3.10

Computed properties:
- DOS at the Fermi energy (states/eV per cell) = 4.5
- size of the total moment (μB/f.u.) = 0.0
- volume (Å³/atom) = 19.7
- E_form (eV/atom) = -0.1648
- total DFT energy (no corrections) (eV per atom) = -3.39

No. 4
The following is a PBE-GGA calculation of crystalline PrAg3Au2 at its relaxed geometry, from Alexandria.

Unit cell a=4.4596 b=7.6795 c=9.0787 alpha=120.21 beta=90.00 gamma=106.88
With the nearest neighbours (Å) after each atom.
Positions (direct):
Pr: 0.8716 0.7432 0.0015  7 Au 3.05-3.29, 4 Ag 3.26-3.38
Pr: 0.1284 0.2568 0.9985  7 Au 3.05-3.29, 4 Ag 3.26-3.38
Ag: 0.2753 0.5506 0.4367  6 Ag 2.78-3.00, 3 Au 2.91-2.94
Ag: 0.9357 0.8713 0.5918  3 Au 2.84-2.99, 6 Ag 2.88-3.11
Ag: 0.5797 0.1595 0.6849  4 Ag 2.87-2.91, 3 Au 2.87-2.89
Ag: 0.4203 0.8405 0.3151  4 Ag 2.87-2.91, 3 Au 2.87-2.89
Ag: 0.0643 0.1287 0.4082  3 Au 2.84-2.99, 6 Ag 2.88-3.11
Ag: 0.7247 0.4494 0.5633  6 Ag 2.78-3.00, 3 Au 2.91-2.94
Au: 0.4354 0.8707 0.8102  4 Ag 2.89-2.99, 2 Au 2.93-2.95
Au: 0.5646 0.1293 0.1898  4 Ag 2.89-2.99, 2 Au 2.93-2.95
Au: 0.7781 0.5562 0.2326  5 Ag 2.84-2.91, 1 Au 2.95, 3 Pr 3.05-3.07
Au: 0.2219 0.4438 0.7674  5 Ag 2.84-2.91, 1 Au 2.95, 3 Pr 3.05-3.07

Computed properties:
- DOS at the Fermi energy (states/eV per cell) = 4.6
- size of the total moment (μB/f.u.) = 0.0
- volume (Å³/atom) = 21.1
- E_form (eV/atom) = -0.3169
- total DFT energy (no corrections) (eV per atom) = -3.63

Q: Look up the total DFT energy (no corrections) of the third one.
A: -3.39 eV per atom